No. 1
Density functional theory data (PBE) for an optimized crystal structure of ScTl.

Structure (extended XYZ):
```
4
Lattice="3.503 0.000 0.000 0.000 3.503 0.000 0.000 0.000 8.231" Properties=species:S:1:pos:R:3 pbc="T T T"
Sc 0.876 0.876 1.028
Sc 2.627 2.627 7.203
Tl 2.627 2.627 3.031
Tl 0.876 0.876 5.200
```

Computed properties:
Total magnetization = 0.00 μB per formula unit
Energy of formation from the pure elements = -48 meV per atom
Final energy = -4.397 eV per atom

=====

No. 2
Density functional theory data (PBE) for an optimized crystal structure of Ac12PuRh7.

Structure (extended XYZ):
```
20
Lattice="9.485 -0.096 -0.143 -2.729 9.084 -0.143 -2.729 -3.631 8.328" Properties=species:S:1:pos:R:3 pbc="T T T"
Ac 2.835 0.007 3.027
Ac -0.782 1.744 3.681
Ac -1.764 5.433 1.730
Ac 1.191 5.351 5.014
Ac 0.014 -1.832 5.680
Ac -1.682 3.690 7.544
Ac 4.809 3.613 4.360
Ac 2.134 1.858 6.869
Ac 5.709 1.667 0.497
Ac 5.790 -0.075 6.311
Ac 4.013 7.189 2.361
Ac 1.893 3.499 1.172
Rh 2.843 0.909 0.166
Rh 2.013 2.679 4.021
Rh 5.006 2.681 7.139
Rh 0.082 -0.996 2.817
Rh -0.980 2.676 0.903
Rh 1.183 4.449 7.876
Rh 3.944 6.354 5.224
Pu 0.000 0.000 0.000
```

Computed properties:
Total magnetization = 5.38 μB per formula unit
Energy of formation from the pure elements = -512 meV per atom
Final energy = -6.267 eV per atom

=====

No. 3
Density functional theory data (PBE) for an optimized crystal structure of MgTl2As.

Structure (extended XYZ):
```
4
Lattice="10.694 -0.007 -0.004 10.171 3.302 -0.004 10.171 1.606 2.885" Properties=species:S:1:pos:R:3 pbc="T T T"
Mg 23.488 3.709 2.177
As 15.167 2.395 1.406
Tl 7.640 1.206 0.708
Tl 0.258 0.041 0.024
```

Computed properties:
Total magnetization = 0.00 μB per formula unit
Energy of formation from the pure elements = 51 meV per atom
Final energy = -2.693 eV per atom
Relative energy among the computed polymorphs = 0.67 eV per formula unit

=====

No. 4
Density functional theory data (PBE) for an optimized crystal structure of SmSiNi3.

Structure (extended XYZ):
```
20
Lattice="-4.573 -2.413 -2.422 4.499 1.444 -3.204 4.408 -10.029 1.669" Properties=species:S:1:pos:R:3 pbc="T T T"
Si 5.271 -8.477 -1.506
Si 4.292 -6.250 -1.877
Si -0.936 -2.521 -2.451
Si 0.043 -4.748 -2.080
Sm 1.758 -8.649 -1.430
Sm 2.577 -2.349 -2.526
Sm 0.000 0.000 0.000
Sm 2.204 -5.015 0.835
Ni 4.454 -4.293 -0.767
Ni 2.250 0.722 -1.602
Ni 6.548 -6.612 -1.844
Ni -2.286 -1.206 -1.211
Ni -0.037 -0.484 -2.813
Ni -0.082 -6.221 -0.376
Ni 0.415 -3.542 -3.985
Ni 0.458 -2.976 -0.698
Ni 3.920 -7.456 0.029
Ni -2.214 -4.386 -2.113
Ni 3.877 -8.022 -3.259
Ni 2.167 -5.499 -1.978
```

Computed properties:
Uncorrected formation energy = -0.404 eV per atom
Total magnetization = 0.00 μB per formula unit
Final energy = -5.901 eV per atom

=====

No. 5
Density functional theory data (PBE) for an optimized crystal structure of La2Sc.

Structure (extended XYZ):
```
6
Lattice="-0.063 3.517 0.665 -1.020 -2.319 2.530 16.432 -0.816 5.880" Properties=species:S:1:pos:R:3 pbc="T T T"
La 16.166 -0.803 5.784
La 10.955 -0.544 3.920
La 2.356 1.436 2.267
La 5.744 -0.285 2.055
Sc 13.211 0.897 6.150
Sc 7.934 1.159 4.262
```

Computed properties:
Total magnetization = 0.00 μB per formula unit
Energy of formation from the pure elements = 90 meV per atom
Final energy = -5.306 eV per atom
Relative energy among the computed polymorphs = 0.11 eV per formula unit

=====

No. 6
Density functional theory data (PBE) for an optimized crystal structure of NiTe2Cl.

Structure (extended XYZ):
```
4
Lattice="6.061 0.640 -0.112 2.167 5.697 0.112 -3.166 -4.400 2.789" Properties=species:S:1:pos:R:3 pbc="T T T"
Te 3.554 2.737 0.000
Te 0.560 0.432 0.000
Ni 1.558 2.233 1.451
Cl 3.505 -0.296 1.338
```

Computed properties:
Uncorrected formation energy = 0.071 eV per atom
Total magnetization = 0.00 μB per formula unit
Final energy = -3.406 eV per atom

=====

No. 7
Density functional theory data (PBE) for an optimized crystal structure of KNb2RuO8.

Structure (extended XYZ):
```
12
Lattice="-2.323 -0.988 -4.705 3.724 -1.807 -3.373 -1.050 -7.075 0.418" Properties=species:S:1:pos:R:3 pbc="T T T"
O -1.825 -6.890 -3.978
O -0.637 -7.072 -1.457
O 0.386 -5.316 -5.021
O -0.035 -4.553 -2.639
O -1.138 -2.530 -4.413
O 2.175 -2.979 -3.682
O 0.988 -2.797 -6.203
O 1.489 -7.339 -3.247
Ru 0.000 0.000 0.000
K -0.525 -3.537 0.209
Nb -0.165 -6.366 -3.164
Nb 0.516 -3.503 -4.496
```

Computed properties:
Uncorrected formation energy = -1.903 eV per atom
Total magnetization = 2.40 μB per formula unit
Final energy = -7.751 eV per atom

=====

No. 8
Density functional theory data (PBE) for an optimized crystal structure of K2InS.

Structure (extended XYZ):
```
4
Lattice="1.611 -5.451 0.281 -3.554 -4.109 -1.696 1.075 -2.899 -4.778" Properties=species:S:1:pos:R:3 pbc="T T T"
K -0.217 -3.115 -1.548
K -0.650 -9.344 -4.645
S 0.000 0.000 0.000
In -0.433 -6.229 -3.096
```

Computed properties:
Uncorrected formation energy = -0.281 eV per atom
Total magnetization = 0.00 μB per formula unit
Final energy = -2.546 eV per atom
Relative energy among the computed polymorphs = 0.34 eV per formula unit

=====

No. 9
Density functional theory data (PBE) for an optimized crystal structure of Pm2Ge4IrPt3.

Structure (extended XYZ):
```
10
Lattice="4.261 0.000 0.000 0.000 4.261 0.000 0.000 0.000 10.439" Properties=species:S:1:pos:R:3 pbc="T T T"
Pm 2.130 0.000 2.610
Pm 0.000 2.130 7.829
Ge 0.000 0.000 0.000
Ge 2.130 0.000 6.615
Ge 0.000 2.130 3.824
Ge 2.130 2.130 0.000
Pt 0.000 0.000 5.220
Pt 0.000 2.130 1.369
Pt 2.130 0.000 9.071
Ir 2.130 2.130 5.220
```

Computed properties:
Total magnetization = 0.00 μB per formula unit
Energy of formation from the pure elements = -886 meV per atom
Final energy = -6.382 eV per atom

=====

No. 10
Density functional theory data (PBE) for an optimized crystal structure of HoZnAgRu.

Structure (extended XYZ):
```
4
Lattice="4.668 0.000 0.000 2.334 4.043 0.000 2.334 1.348 3.812" Properties=species:S:1:pos:R:3 pbc="T T T"
Ru 4.668 2.695 1.906
Zn 7.002 4.043 2.859
Ag 0.000 0.000 0.000
Ho 2.334 1.348 0.953
```

Computed properties:
Total magnetization = 0.00 μB per formula unit
Energy of formation from the pure elements = -118 meV per atom
Final energy = -4.612 eV per atom

=====

No. 11
Density functional theory data (PBE) for an optimized crystal structure of Y4MnW.

Structure (extended XYZ):
```
6
Lattice="-3.856 -1.383 4.438 -5.925 0.891 -0.760 -3.713 -4.727 -0.589" Properties=species:S:1:pos:R:3 pbc="T T T"
Mn -10.120 -3.915 2.317
W 0.000 0.000 0.000
Y -8.034 -1.502 0.771
Y -6.918 -4.336 0.858
Y -6.990 -2.649 3.394
Y -5.045 -1.951 1.155
```

Computed properties:
Total magnetization = 4.34 μB per formula unit
Energy of formation from the pure elements = 1121 meV per atom
Final energy = -6.875 eV per atom

=====

No. 12
Density functional theory data (PBE) for an optimized crystal structure of Tm4CdRhAu2.

Structure (extended XYZ):
```
8
Lattice="-4.206 -1.597 -2.213 -0.013 -4.327 -2.532 -3.483 -5.961 5.240" Properties=species:S:1:pos:R:3 pbc="T T T"
Au -1.871 -2.867 -0.055
Au -5.830 -9.018 0.549
Tm -4.575 -7.332 2.625
Tm -2.663 -4.386 2.545
Tm -3.127 -4.553 -2.131
Tm -5.039 -7.499 -2.051
Rh -3.851 -5.942 0.247
Cd 0.000 0.000 0.000
```

Computed properties:
Total magnetization = 0.00 μB per formula unit
Energy of formation from the pure elements = -758 meV per atom
Final energy = -4.847 eV per atom

=====

The records above yield N(E_F) values of 1.076; 1.437; 0.550; 0.236; 1.670; 0.748; 0.244; 0.541; 0.579; 0.278; 1.579; 0.566 states/eV per atom, respectively.